1.
Ca2HfSbRu | PBE-GGA | optimized geometry

Lattice parameters (Å, degrees): 5.626 5.350 5.626 90.00 90.00 90.00
Element x y z (fractional)
Ru 0.500 0.500 0.500
Ca 0.000 0.000 0.500
Sb 0.000 0.000 0.000
Hf 0.000 0.500 0.000
Ca 0.500 0.000 0.000

The value obtained for the total magnetic moment is 0.32 μB/cell. The total energy comes out at -4.53 eV/atom. The density of states at the Fermi level is 8.128 states/eV per cell. The uncorrected formation energy is 0.943 eV/atom. The calculation puts the mass density at 4.72 g/cm³.

=====

2.
CaHfSc2Ru | PBE-GGA | optimized geometry

Lattice parameters (Å, degrees): 5.059 5.453 5.059 90.00 90.00 90.00
Element x y z (fractional)
Sc 0.500 0.000 0.000
Hf 0.000 0.000 0.000
Sc 0.000 0.000 0.500
Ca 0.000 0.500 0.000
Ru 0.500 0.500 0.500

The value obtained for the total magnetic moment is 2.31 μB/cell. The total energy comes out at -5.28 eV/atom. For the energy of formation, the calculation gives 1.4982 eV per atom. The density of states at the Fermi level is 9.035 states/eV per cell. The calculation puts the mass density at 4.87 g/cm³.

=====

3.
CaHfRu2Se | PBE-GGA | optimized geometry

Lattice parameters (Å, degrees): 4.618 4.965 4.618 90.00 90.00 90.00
Element x y z (fractional)
Ru 0.500 0.000 0.000
Ca 0.000 0.500 0.000
Ru 0.000 0.000 0.500
Hf 0.500 0.500 0.500
Se 0.000 0.000 0.000

The value obtained for the total magnetic moment is 0.14 μB/cell. The total energy comes out at -6.22 eV/atom. The density of states at the Fermi level is 6.288 states/eV per cell. The uncorrected formation energy is 0.575 eV/atom. The calculation puts the mass density at 7.84 g/cm³.

=====

4.
Ca2HfS4 | PBE-GGA | optimized geometry

Lattice parameters (Å, degrees): 3.873 7.021 11.756 90.00 90.00 90.00
Element x y z (fractional)
S 0.000 0.880 0.298
Ca 0.500 0.095 0.183
S 0.000 0.620 0.798
S 0.000 0.380 0.202
Hf 0.000 0.000 0.500
Hf 0.000 0.500 0.000
Ca 0.500 0.905 0.817
Ca 0.500 0.595 0.317
S 0.000 0.120 0.702
S 0.500 0.765 0.546
Ca 0.500 0.405 0.683
S 0.500 0.735 0.046
S 0.500 0.235 0.454
S 0.500 0.265 0.954

The value obtained for the total magnetic moment is 0.00 μB/cell. The total energy comes out at -6.24 eV/atom. The uncorrected formation energy is -1.885 eV/atom. The calculation puts the mass density at 4.02 g/cm³.

=====

5.
CaHfS2 | PBE-GGA | optimized geometry

Lattice parameters (Å, degrees): 4.695 4.695 4.695 60.00 60.00 60.00
Element x y z (fractional)
Ca 0.000 0.000 0.000
S 0.250 0.250 0.250
Hf 0.500 0.500 0.500
S 0.750 0.750 0.750

The value obtained for the total magnetic moment is 1.64 μB/cell. The total energy comes out at -6.21 eV/atom. The density of states at the Fermi level is 2.010 states/eV per cell. For the relative energy among the computed polymorphs, the calculation gives 128 meV/atom. The uncorrected formation energy is -1.155 eV/atom. The calculation puts the mass density at 6.42 g/cm³.

=====

6.
Ca2HfS2 | PBE-GGA | optimized geometry

Lattice parameters (Å, degrees): 7.399 7.399 3.823 90.00 90.00 90.00
Element x y z (fractional)
Ca 0.850 0.350 0.500
S 0.163 0.337 0.000
Ca 0.150 0.650 0.500
S 0.337 0.837 0.000
Ca 0.650 0.850 0.500
Ca 0.350 0.150 0.500
Hf 0.000 0.000 0.000
S 0.837 0.663 0.000
Hf 0.500 0.500 0.000
S 0.663 0.163 0.000

The value obtained for the total magnetic moment is 1.70 μB/cell. The total energy comes out at -5.59 eV/atom. The density of states at the Fermi level is 5.277 states/eV per cell. For the relative energy among the computed polymorphs, the calculation gives 0 meV/atom. The uncorrected formation energy is -1.152 eV/atom. The calculation puts the mass density at 5.12 g/cm³.

=====

Copy entry 2 word for word.
CaHfSc2Ru | PBE-GGA | optimized geometry

Lattice parameters (Å, degrees): 5.059 5.453 5.059 90.00 90.00 90.00
Element x y z (fractional)
Sc 0.500 0.000 0.000
Hf 0.000 0.000 0.000
Sc 0.000 0.000 0.500
Ca 0.000 0.500 0.000
Ru 0.500 0.500 0.500

The value obtained for the total magnetic moment is 2.31 μB/cell. The total energy comes out at -5.28 eV/atom. For the energy of formation, the calculation gives 1.4982 eV per atom. The density of states at the Fermi level is 9.035 states/eV per cell. The calculation puts the mass density at 4.87 g/cm³.